Record 1
# Zr4In5Co2

Zr4In5Co2 at its PBEsol-relaxed geometry (SCAN, Alexandria via LeMat-Bulk).

```
Zr4In5Co2
1.0
-2.537 -0.781 -1.872
4.457 -0.263 -5.932
1.070 -8.622 2.146
Zr In Co
4 5 2
Direct
0.500 0.798 0.560
0.500 0.183 0.841
0.500 0.202 0.440
0.500 0.817 0.159
0.000 0.540 0.332
0.000 0.158 0.142
0.000 0.500 0.000
0.000 0.842 0.858
0.000 0.460 0.668
0.000 0.077 0.634
0.000 0.923 0.366
```

Values from the calculation:
As for the total energy: -1.099 hartree per atom. The calculation puts the formation energy at -0.43 eV/atom.

Record 2
# Si2Ir2Au

Si2Ir2Au at its PBEsol-relaxed geometry (SCAN, Alexandria via LeMat-Bulk).

```
Si2Ir2Au
1.0
-1.596 0.723 3.205
-1.975 -3.058 -0.294
5.851 -1.715 1.219
Si Ir Au
2 2 1
Direct
0.250 0.750 0.500
0.750 0.250 0.500
0.382 0.382 0.764
0.618 0.618 0.236
0.000 0.000 0.000
```

Values from the calculation:
As for the total energy: -1.721 hartree per atom. As for the uncorrected formation energy: -0.540 eV per atom.

Record 3
# Ta2CoRh

Ta2CoRh at its PBEsol-relaxed geometry (SCAN, Alexandria via LeMat-Bulk).

```
Ta2CoRh
1.0
-0.387 1.171 -2.499
0.216 -3.994 -1.905
-4.619 -0.754 1.056
Rh Co Ta
1 1 2
Direct
0.398 0.500 0.798
0.350 0.000 0.440
0.974 0.000 0.939
0.778 0.500 0.323
```

Values from the calculation:
As for the total energy: -1.703 hartree per atom. The calculation puts the formation energy at -0.29 eV/atom.

Record 4
# Na2CuN

Na2CuN at its PBEsol-relaxed geometry (SCAN, Alexandria via LeMat-Bulk).

```
Na2CuN
1.0
3.584 0.000 0.000
1.792 6.809 0.000
1.792 0.000 6.809
Na Cu N
4 2 2
Direct
0.875 0.750 0.750
0.375 0.250 0.250
0.375 0.750 0.250
0.375 0.250 0.750
0.000 0.000 0.000
0.750 0.500 0.500
0.500 0.000 0.000
0.250 0.500 0.500
```

Values from the calculation:
As for the total energy: -0.303 hartree per atom. As for the uncorrected formation energy: -0.018 eV per atom.

Record 5
# Ca2Ga2Ag

Ca2Ga2Ag at its PBEsol-relaxed geometry (SCAN, Alexandria via LeMat-Bulk).

```
Ca2Ga2Ag
1.0
-0.213 -3.478 -2.995
7.008 -0.222 -0.240
0.037 -4.579 5.315
Ca Ga Ag
4 4 2
Direct
0.500 0.174 0.674
0.500 0.674 0.826
0.500 0.826 0.326
0.500 0.326 0.174
0.000 0.372 0.872
0.000 0.872 0.628
0.000 0.628 0.128
0.000 0.128 0.372
0.000 0.000 0.000
0.000 0.500 0.500
```

Values from the calculation:
As for the total energy: -0.628 hartree per atom. The calculation puts the formation energy at -0.41 eV/atom. The calculation puts the distance to the lowest polymorph of the same formula at 0 meV per atom.

Record 6
# KTlAu2

KTlAu2 at its PBEsol-relaxed geometry (SCAN, Alexandria via LeMat-Bulk).

```
KTlAu2
1.0
-4.980 1.216 0.091
2.252 -1.255 -4.418
-0.809 -3.581 3.580
Au K Tl
2 1 1
Direct
0.750 0.500 0.250
0.250 0.500 0.750
0.500 0.000 0.500
0.000 0.000 0.000
```

Values from the calculation:
As for the total energy: -2.016 hartree per atom. The calculation puts the formation energy at -0.11 eV/atom. The calculation puts the distance to the lowest polymorph of the same formula at 159 meV per atom.

Record 7
# KWBr2

KWBr2 at its PBEsol-relaxed geometry (SCAN, Alexandria via LeMat-Bulk).

```
KWBr2
1.0
3.545 0.000 0.000
0.000 3.545 0.000
0.000 0.000 7.596
Br K W
2 1 1
Direct
0.000 0.000 0.951
0.500 0.500 0.216
0.000 0.000 0.479
0.500 0.500 0.855
```

Values from the calculation:
As for the total energy: -1.056 hartree per atom. The calculation puts the distance to the lowest polymorph of the same formula at 140 meV per atom. As for the uncorrected formation energy: 0.505 eV per atom.

Record 8
# Cu2SiAu

Cu2SiAu at its PBEsol-relaxed geometry (SCAN, Alexandria via LeMat-Bulk).

```
Cu2SiAu
1.0
-0.651 -2.527 1.231
0.743 -1.647 -2.989
4.990 -0.537 1.536
Si Au Cu
1 1 2
Direct
0.500 0.500 0.000
0.500 0.500 0.500
0.000 0.000 0.769
0.000 0.000 0.231
```

Values from the calculation:
As for the total energy: -1.007 hartree per atom. As for the uncorrected formation energy: -0.019 eV per atom.